VASP calculation (PBE+U) on crystalline NiAgS2O8 at its relaxed geometry.

```
NiAgS2O8
1.0
-4.753 -0.183 -0.200
-2.256 -4.128 0.730
-2.701 0.054 7.475
Ni Ag S O
1 1 2 8
Direct
0.000 0.000 0.000
0.500 0.500 0.500
0.256 0.256 0.231
0.744 0.744 0.769
0.189 0.189 0.432
0.582 0.260 0.169
0.811 0.811 0.568
0.989 0.582 0.169
0.011 0.418 0.831
0.260 0.989 0.169
0.740 0.011 0.831
0.418 0.740 0.831
```

Values from the calculation:
ρ: 4.1 g/cm³
final energy: -5.48 eV per atom